Record 1
Compound: Pu2Co3Ge5
Source: Alexandria via LeMat-Bulk
Functional: PBE-GGA
Structure: relaxed

POSCAR file:
```
Pu2Co3Ge5
1.0
-4.865 5.907 2.864
4.865 -5.907 2.864
4.865 5.907 -2.864
Pu Co Ge
4 6 10
direct
0.140 0.231 0.371
0.360 0.731 0.090
0.640 0.269 0.910
0.860 0.769 0.629
0.142 0.899 0.041
0.250 0.750 0.500
0.358 0.399 0.757
0.642 0.601 0.243
0.750 0.250 0.500
0.858 0.101 0.959
0.030 0.750 0.280
0.090 0.668 0.758
0.250 0.250 0.000
0.410 0.168 0.578
0.470 0.750 0.720
0.530 0.250 0.280
0.590 0.832 0.422
0.750 0.750 0.000
0.910 0.332 0.242
0.970 0.250 0.720
```

Properties
VASP energy: -154.35 eV for the cell shown
space group: Ibam (72)
crystal system: orthorhombic
size of the total moment: 21.35 Bohr magnetons per cell
formation enthalpy at 0 K: -0.410 eV/atom
volume: 16.46 Å³/atom

---

Record 2
Compound: PuCo2Ge3
Source: Alexandria via LeMat-Bulk
Functional: PBE-GGA
Structure: relaxed

POSCAR file:
```
PuCo2Ge3
1.0
2.672 -4.640 0.000
2.672 4.640 0.000
0.000 0.000 3.819
Pu Co Ge
1 2 3
direct
0.000 0.000 0.000
0.333 0.667 0.000
0.667 0.333 0.000
0.000 0.500 0.500
0.500 0.000 0.500
0.500 0.500 0.500
```

Properties
VASP energy: -43.68 eV for the cell shown
space group: Cmmm (65)
crystal system: orthorhombic
size of the total moment: 4.61 Bohr magnetons per cell
formation enthalpy at 0 K: -0.213 eV/atom
volume: 15.79 Å³/atom

---

Record 3
Compound: PuCo12Ge6
Source: Alexandria via LeMat-Bulk
Functional: PBE-GGA
Structure: relaxed

POSCAR file:
```
PuCo12Ge6
1.0
5.298 3.059 2.666
-5.298 3.059 2.666
0.000 -6.118 2.666
Pu Co Ge
1 12 6
direct
0.000 0.000 0.000
0.125 0.500 0.875
0.125 0.875 0.500
0.183 0.432 0.432
0.432 0.183 0.432
0.432 0.432 0.183
0.500 0.125 0.875
0.500 0.875 0.125
0.568 0.568 0.817
0.568 0.817 0.568
0.817 0.568 0.568
0.875 0.125 0.500
0.875 0.500 0.125
0.246 0.246 0.703
0.246 0.703 0.246
0.297 0.754 0.754
0.703 0.246 0.246
0.754 0.297 0.754
0.754 0.754 0.297
```

Properties
VASP energy: -127.39 eV for the cell shown
space group: R-3m (166)
crystal system: trigonal
size of the total moment: 12.36 Bohr magnetons per cell
formation enthalpy at 0 K: -0.004 eV/atom
volume: 13.65 Å³/atom

---

Record 4
Compound: Pu3Co3Ge
Source: Alexandria via LeMat-Bulk
Functional: PBE-GGA
Structure: relaxed

POSCAR file:
```
Pu3Co3Ge
1.0
2.085 -4.693 0.000
2.085 4.693 0.000
0.000 0.000 12.887
Pu Co Ge
6 6 2
direct
0.000 0.000 0.250
0.000 0.000 0.750
0.295 0.705 0.604
0.295 0.705 0.896
0.705 0.295 0.104
0.705 0.295 0.396
0.293 0.707 0.250
0.418 0.582 0.089
0.418 0.582 0.411
0.582 0.418 0.589
0.582 0.418 0.911
0.707 0.293 0.750
0.000 0.000 0.000
0.000 0.000 0.500
```

Properties
VASP energy: -140.42 eV for the cell shown
space group: Cmcm (63)
crystal system: orthorhombic
size of the total moment: 27.59 Bohr magnetons per cell
formation enthalpy at 0 K: -0.182 eV/atom
volume: 18.01 Å³/atom